VASP calculation (SCAN) on MgTe2 at its PBEsol-relaxed geometry.

Spin magnetization   0.00 μB per formula unit
Calculated density   5548 kg/m³
Uncorrected formation energy   -1.0 eV per formula unit

Cell: 3.5182 3.5182 8.0643 Å, 77.40 77.40 60.00°
Last column: nearest neighbours and their distance in Å.
Fractional positions:
Mg: 0.0000 0.0000 0.0000  6 Te 2.91
Te: 0.2441 0.2441 0.2678  3 Mg 2.91
Te: 0.7559 0.7559 0.7322  3 Mg 2.91